! MnF4 (GGA+U, relaxed); values from VASP
! **Symmetry**: P-43m (215)
! **Mass density**: 2.55 Mg/m³
! **Raw total energy**: -23.49 eV per cell
&SYSTEM
  ibrav = 0, nat = 5, ntyp = 2
/
ATOMIC_SPECIES
Mn 54.94 Mn.upf
F 19.00 F.upf
CELL_PARAMETERS angstrom
4.403 0.000 0.000
0.000 4.403 0.000
0.000 0.000 4.403
ATOMIC_POSITIONS crystal
Mn 0.000 0.000 0.000
F 0.231 0.231 0.231
F 0.231 0.769 0.769
F 0.769 0.231 0.769
F 0.769 0.769 0.231